# GGA-PBE AcNdTmZn, relaxed
data_AcNdTmZn
_symmetry_space_group_name_H-M 'F -4 3 m'
_symmetry_Int_Tables_number 216
_symmetry_space_group_name_Hall 'F -4 2 3'
_cell_length_a 7.869
_cell_length_b 7.869
_cell_length_c 7.869
_cell_angle_alpha 90.00
_cell_angle_beta 90.00
_cell_angle_gamma 90.00
loop_
_atom_site_label
_atom_site_type_symbol
_atom_site_fract_x
_atom_site_fract_y
_atom_site_fract_z
Ac1 Ac 0.000 0.000 0.000
Nd1 Nd 0.250 0.250 0.250
Tm1 Tm 0.250 0.250 0.750
Zn1 Zn 0.000 0.000 0.500
# calculated formation energy = 0.183 eV/atom

# GGA-PBE TmZrAl, relaxed
data_TmZrAl
_symmetry_space_group_name_H-M 'I 4 m m'
_symmetry_Int_Tables_number 107
_symmetry_space_group_name_Hall 'I 4 -2'
_cell_length_a 3.269
_cell_length_b 3.269
_cell_length_c 12.843
_cell_angle_alpha 90.00
_cell_angle_beta 90.00
_cell_angle_gamma 90.00
loop_
_atom_site_label
_atom_site_type_symbol
_atom_site_fract_x
_atom_site_fract_y
_atom_site_fract_z
Tm1 Tm 0.000 0.000 0.000
Zr1 Zr 0.000 0.000 0.314
Al1 Al 0.000 0.000 0.666
# energy above the most stable polymorph in this dataset = 0.05 eV per formula unit
# calculated formation energy = -0.240 eV/atom

# GGA-PBE In2TeH2, relaxed
data_In2TeH2
_symmetry_space_group_name_H-M 'P -1'
_symmetry_Int_Tables_number 2
_cell_length_a 4.492
_cell_length_b 4.849
_cell_length_c 5.766
_cell_angle_alpha 97.72
_cell_angle_beta 90.13
_cell_angle_gamma 117.35
loop_
_symmetry_equiv_pos_as_xyz
'x,y,z'
'-x,-y,-z'
loop_
_atom_site_label
_atom_site_type_symbol
_atom_site_fract_x
_atom_site_fract_y
_atom_site_fract_z
In1 In 0.143 0.288 0.354
Te1 Te 0.500 0.000 0.000
H1 H 0.308 0.618 0.146
# energy above the most stable polymorph in this dataset = 0.00 eV per formula unit

# GGA-PBE KHoTl2Cl6, relaxed
data_KHoTl2Cl6
_symmetry_space_group_name_H-M 'R 3'
_symmetry_Int_Tables_number 146
_symmetry_space_group_name_Hall 'R 3'
_cell_length_a 7.7836
_cell_length_b 7.7836
_cell_length_c 19.6453
_cell_angle_alpha 90.00
_cell_angle_beta 90.00
_cell_angle_gamma 120.00
loop_
_atom_site_label
_atom_site_type_symbol
_atom_site_fract_x
_atom_site_fract_y
_atom_site_fract_z
K1 K 0.0000 0.0000 0.0000
Ho1 Ho 0.0000 0.0000 0.4930
Tl1 Tl 0.0000 0.0000 0.2805
Tl2 Tl 0.0000 0.0000 0.7866
Cl1 Cl 0.0212 0.4164 0.2311
Cl2 Cl 0.0849 0.7019 0.0754
# ΔE_f (raw) = -1749 meV/atom

# GGA-PBE Sc6InPb, relaxed
data_Sc6InPb
_symmetry_space_group_name_H-M 'P 4/m m m'
_symmetry_Int_Tables_number 123
_symmetry_space_group_name_Hall '-P 4 2'
_cell_length_a 4.537
_cell_length_b 4.537
_cell_length_c 9.089
_cell_angle_alpha 90.00
_cell_angle_beta 90.00
_cell_angle_gamma 90.00
loop_
_atom_site_label
_atom_site_type_symbol
_atom_site_fract_x
_atom_site_fract_y
_atom_site_fract_z
Sc1 Sc 0.000 0.000 0.000
Sc2 Sc 0.000 0.000 0.500
Sc3 Sc 0.000 0.500 0.247
In1 In 0.500 0.500 0.000
Pb1 Pb 0.500 0.500 0.500
# energy above the most stable polymorph in this dataset = 0.00 eV per formula unit
# calculated formation energy = -0.286 eV/atom

# GGA-PBE ZrRe2NF, relaxed
data_ZrRe2NF
_symmetry_space_group_name_H-M 'P 4/m m m'
_symmetry_Int_Tables_number 123
_symmetry_space_group_name_Hall '-P 4 2'
_cell_length_a 3.916
_cell_length_b 3.916
_cell_length_c 4.837
_cell_angle_alpha 90.00
_cell_angle_beta 90.00
_cell_angle_gamma 90.00
loop_
_atom_site_label
_atom_site_type_symbol
_atom_site_fract_x
_atom_site_fract_y
_atom_site_fract_z
Zr1 Zr 0.000 0.000 0.000
Re1 Re 0.000 0.500 0.500
N1 N 0.500 0.500 0.000
F1 F 0.500 0.500 0.500
# ΔE_f (raw) = 1143 meV/atom

# GGA-PBE Zr2ScBr, relaxed
data_Zr2ScBr
_symmetry_space_group_name_H-M 'P 4/m m m'
_symmetry_Int_Tables_number 123
_symmetry_space_group_name_Hall '-P 4 2'
_cell_length_a 4.158
_cell_length_b 4.158
_cell_length_c 5.206
_cell_angle_alpha 90.00
_cell_angle_beta 90.00
_cell_angle_gamma 90.00
loop_
_atom_site_label
_atom_site_type_symbol
_atom_site_fract_x
_atom_site_fract_y
_atom_site_fract_z
Zr1 Zr 0.000 0.500 0.000
Sc1 Sc 0.000 0.000 0.500
Br1 Br 0.500 0.500 0.500
# ΔE_f (raw) = 127 meV/atom

# GGA-PBE KRePb2, relaxed
data_KRePb2
_symmetry_space_group_name_H-M 'C m m 2'
_symmetry_Int_Tables_number 35
_cell_length_a 3.601
_cell_length_b 4.978
_cell_length_c 12.248
_cell_angle_alpha 90.00
_cell_angle_beta 90.00
_cell_angle_gamma 90.00
loop_
_symmetry_equiv_pos_as_xyz
'x,y,z'
'-x,-y,z'
'-x,y,z'
'x,-y,z'
'x+1/2,y+1/2,z'
'-x+1/2,-y+1/2,z'
'-x+1/2,y+1/2,z'
'x+1/2,-y+1/2,z'
loop_
_atom_site_label
_atom_site_type_symbol
_atom_site_fract_x
_atom_site_fract_y
_atom_site_fract_z
K1 K 0.000 0.000 0.000
Re1 Re 0.000 0.500 0.774
Pb1 Pb 0.000 0.000 0.588
Pb2 Pb 0.000 0.500 0.275
# energy above the most stable polymorph in this dataset = 1.83 eV per formula unit
# calculated formation energy = 0.935 eV/atom

# GGA-PBE KBe2Ag, relaxed
data_KBe2Ag
_symmetry_space_group_name_H-M 'P m m m'
_symmetry_Int_Tables_number 47
_cell_length_a 2.825
_cell_length_b 5.068
_cell_length_c 5.174
_cell_angle_alpha 90.00
_cell_angle_beta 90.00
_cell_angle_gamma 90.00
loop_
_symmetry_equiv_pos_as_xyz
'x,y,z'
'-x,-y,-z'
'-x,-y,z'
'x,y,-z'
'x,-y,-z'
'-x,y,z'
'-x,y,-z'
'x,-y,z'
loop_
_atom_site_label
_atom_site_type_symbol
_atom_site_fract_x
_atom_site_fract_y
_atom_site_fract_z
K1 K 0.000 0.000 0.000
Be1 Be 0.000 0.500 0.500
Be2 Be 0.500 0.500 0.000
Ag1 Ag 0.500 0.000 0.500
# energy above the most stable polymorph in this dataset = 3.16 eV per formula unit
# calculated formation energy = 1.056 eV/atom

# GGA-PBE AcIn2CuPt2, relaxed
data_AcIn2CuPt2
_symmetry_space_group_name_H-M 'I 4/m m m'
_symmetry_Int_Tables_number 139
_symmetry_space_group_name_Hall '-I 4 2'
_cell_length_a 5.317
_cell_length_b 5.317
_cell_length_c 11.016
_cell_angle_alpha 90.00
_cell_angle_beta 90.00
_cell_angle_gamma 90.00
loop_
_atom_site_label
_atom_site_type_symbol
_atom_site_fract_x
_atom_site_fract_y
_atom_site_fract_z
Ac1 Ac 0.000 0.000 0.000
In1 In 0.000 0.500 0.250
Cu1 Cu 0.000 0.000 0.500
Pt1 Pt 0.000 0.000 0.277
# calculated formation energy = -0.313 eV/atom

# GGA-PBE NiPb2Au, relaxed
data_NiPb2Au
_symmetry_space_group_name_H-M 'P 4/m m m'
_symmetry_Int_Tables_number 123
_symmetry_space_group_name_Hall '-P 4 2'
_cell_length_a 3.371
_cell_length_b 3.371
_cell_length_c 7.681
_cell_angle_alpha 90.00
_cell_angle_beta 90.00
_cell_angle_gamma 90.00
loop_
_atom_site_label
_atom_site_type_symbol
_atom_site_fract_x
_atom_site_fract_y
_atom_site_fract_z
Ni1 Ni 0.000 0.000 0.000
Pb1 Pb 0.500 0.500 0.221
Au1 Au 0.000 0.000 0.500
# energy above the most stable polymorph in this dataset = 0.46 eV per formula unit
# calculated formation energy = 0.173 eV/atom

# GGA-PBE PPdWCl2, relaxed
data_PPdWCl2
_symmetry_space_group_name_H-M 'P 4/m m m'
_symmetry_Int_Tables_number 123
_symmetry_space_group_name_Hall '-P 4 2'
_cell_length_a 4.678
_cell_length_b 4.678
_cell_length_c 4.912
_cell_angle_alpha 90.00
_cell_angle_beta 90.00
_cell_angle_gamma 90.00
loop_
_atom_site_label
_atom_site_type_symbol
_atom_site_fract_x
_atom_site_fract_y
_atom_site_fract_z
P1 P 0.000 0.000 0.000
Pd1 Pd 0.000 0.000 0.500
W1 W 0.500 0.500 0.000
Cl1 Cl 0.000 0.500 0.500
# energy above the most stable polymorph in this dataset = 3.36 eV per formula unit
# ΔE_f (raw) = 1151 meV/atom